Density functional theory data (PBE with a Hubbard U) for a geometry-optimized La4FeAs4Ru3O4 structure.

The space group is P-42m (No. 111) and the conventional cell measures 5.8210, 5.8210 and 8.7775 Å, with angles of 90.00, 90.00 and 90.00 degrees. The inequivalent atoms are La at (0.2491, 0.2491, 0.1376), Fe at (0.5000, 0.5000, 0.5000), As at (0.2389, 0.2389, 0.6581), Ru at (0.0000, 0.0000, 0.5000), Ru at (0.0000, 0.5000, 0.5000), O at (0.0000, 0.0000, 0.0000), O at (0.0000, 0.5000, 0.0000) and O at (0.5000, 0.5000, 0.0000).

Its energy above the most stable polymorph in this dataset is 0 meV/atom. For the magnetic moment, the calculation gives 0.144 μB per atom. The calculation puts the total energy at -121.0 eV/cell. The calculation puts the mass density at 7.137 g/cm3. The value obtained for the density of states at the Fermi level is 0.36 states/eV/atom.

Density functional theory data (PBE with a Hubbard U) for a geometry-optimized La4FeAs4Ru3O4 structure.

The space group is P-4m2 (No. 115) and the conventional cell measures 4.1348, 4.1348 and 17.4107 Å, with angles of 90.00, 90.00 and 90.00 degrees. The inequivalent atoms are La at (0.0000, 0.5000, 0.1775), La at (0.0000, 0.5000, 0.6846), Fe at (0.0000, 0.0000, 0.5000), As at (0.0000, 0.5000, 0.4181), As at (0.0000, 0.5000, 0.9252), Ru at (0.0000, 0.0000, 0.0000), Ru at (0.5000, 0.5000, 0.0000), Ru at (0.5000, 0.5000, 0.5000), O at (0.0000, 0.0000, 0.2465) and O at (0.5000, 0.5000, 0.2471).

Its energy above the most stable polymorph in this dataset is 9 meV/atom. For the magnetic moment, the calculation gives 0.227 μB per atom. The calculation puts the total energy at -120.9 eV/cell. The calculation puts the mass density at 7.131 g/cm3. The value obtained for the density of states at the Fermi level is 0.38 states/eV/atom.

Density functional theory data (PBE with a Hubbard U) for a geometry-optimized La2FeAs2RuO2 structure.

The space group is P-4m2 (No. 115) and the conventional cell measures 4.1002, 4.1002 and 8.9102 Å, with angles of 90.00, 90.00 and 90.00 degrees. The inequivalent atoms are La at (0.0000, 0.5000, 0.1366), Fe at (0.5000, 0.5000, 0.5000), As at (0.0000, 0.5000, 0.6631), Ru at (0.0000, 0.0000, 0.5000), O at (0.0000, 0.0000, 0.0000) and O at (0.5000, 0.5000, 0.0000).

For the magnetic moment, the calculation gives 0.449 μB per atom. The calculation puts the total energy at -57.8 eV/cell. The calculation puts the mass density at 6.835 g/cm3. The value obtained for the density of states at the Fermi level is 0.49 states/eV/atom.